[1]
{"formula": "Sr4Cd2O", "functional": "PBE", "state": "optimized geometry", "lattice_angstrom": [[-1.3116, 3.6424, 3.2336], [-4.6985, -0.0637, -1.8340], [0.6948, -8.0689, 5.4366]], "species": ["Sr", "Sr", "Sr", "Sr", "O", "Cd", "Cd"], "frac_coords": [[0.8272, 0.8272, 0.6545], [0.1728, 0.1728, 0.3455], [0.0000, 0.5000, 0.0000], [0.5000, 0.0000, 0.0000], [0.0000, 0.0000, 0.0000], [0.6379, 0.6379, 0.2759], [0.3621, 0.3621, 0.7241]], "magmom_total_mub_per_fu": 0.0, "spacegroup": "I4/mmm (139)", "e_form_raw_mev_per_atom": -870, "density_kg_m3": 4251, "dft_energy_ev_per_cell": -19.61}

***

[2]
{"formula": "SrCd3O4", "functional": "PBE", "state": "optimized geometry", "lattice_angstrom": [[3.7382, 0.0000, 0.0000], [0.0000, 6.0680, -0.4497], [0.0000, 0.0517, 6.0844]], "species": ["Sr", "O", "O", "O", "O", "Cd", "Cd", "Cd"], "frac_coords": [[0.0000, 0.5067, 0.4933], [0.0000, 0.8457, 0.7319], [0.5000, 0.7481, 0.2519], [0.5000, 0.3390, 0.6610], [0.0000, 0.2681, 0.1543], [0.5000, 0.4022, 0.0155], [0.5000, 0.9845, 0.5978], [0.0000, 0.9057, 0.0943]], "magmom_total_mub_per_fu": 0.0, "spacegroup": "Amm2 (38)", "e_form_raw_mev_per_atom": -1405, "density_kg_m3": 5878, "dft_energy_ev_per_cell": -35.50}

***

[3]
{"formula": "SrCd4O5", "functional": "PBE", "state": "optimized geometry", "lattice_angstrom": [[3.3670, 0.0000, 0.7691], [1.4183, 5.5444, 1.5456], [0.0092, 0.0201, 7.7141]], "species": ["Sr", "Cd", "Cd", "Cd", "Cd", "O", "O", "O", "O", "O"], "frac_coords": [[0.0000, 0.0000, 0.0000], [0.6020, 0.2032, 0.5929], [0.1959, 0.4031, 0.2051], [0.8041, 0.5969, 0.7949], [0.3980, 0.7968, 0.4071], [0.2050, 0.8981, 0.6918], [0.7950, 0.1019, 0.3082], [0.3961, 0.3176, 0.8902], [0.0000, 0.5000, 0.5000], [0.6039, 0.6824, 0.1098]], "magmom_total_mub_per_fu": 0.0, "spacegroup": "C2/m (12)", "e_form_raw_mev_per_atom": -1364, "density_kg_m3": 7124, "dft_energy_ev_per_cell": -43.78}

***

[4]
{"formula": "SrTa2CdO", "functional": "PBE", "state": "optimized geometry", "lattice_angstrom": [[-0.7165, -0.9335, 4.1386], [-3.7729, -3.2170, -1.3789], [2.8371, -3.2260, -0.2365]], "species": ["Sr", "Cd", "O", "Ta", "Ta"], "frac_coords": [[0.0000, 0.5000, 0.0000], [0.5000, 0.5000, 0.5000], [0.0000, 0.0000, 0.0000], [0.0000, 0.0000, 0.5000], [0.5000, 0.0000, 0.0000]], "magmom_total_mub_per_fu": 0.0, "spacegroup": "P4/mmm (123)", "e_form_raw_mev_per_atom": -306, "density_kg_m3": 10073, "dft_energy_ev_per_cell": -32.79}

***

[5]
{"formula": "Sr3Ta2CdO9", "functional": "PBE", "state": "optimized geometry", "lattice_angstrom": [[5.8320, 0.0000, 0.0000], [-2.9160, 5.0506, 0.0000], [0.0000, 0.0000, 7.3051]], "species": ["Sr", "Sr", "Sr", "Ta", "Ta", "Cd", "O", "O", "O", "O", "O", "O", "O", "O", "O"], "frac_coords": [[0.3333, 0.6667, 0.6774], [0.0000, 0.0000, 0.0000], [0.6667, 0.3333, 0.3226], [0.3333, 0.6667, 0.1694], [0.6667, 0.3333, 0.8306], [0.0000, 0.0000, 0.5000], [0.8266, 0.1734, 0.6891], [0.8266, 0.6532, 0.6891], [0.3468, 0.1734, 0.6891], [0.6532, 0.8266, 0.3109], [0.1734, 0.3468, 0.3109], [0.1734, 0.8266, 0.3109], [0.5000, 0.0000, 0.0000], [0.0000, 0.5000, 0.0000], [0.5000, 0.5000, 0.0000]], "magmom_total_mub_per_fu": 0.0, "spacegroup": "P-3m1 (164)", "e_form_raw_mev_per_atom": -2722, "density_kg_m3": 6800, "dft_energy_ev_per_cell": -115.12}

***

[6]
{"formula": "Sr2TaCdO6", "functional": "PBE", "state": "optimized geometry", "lattice_angstrom": [[5.8312, 0.0000, -0.0058], [0.0000, 5.9735, 0.0000], [0.0433, 0.0000, 8.2567]], "species": ["Sr", "Sr", "Sr", "Sr", "Ta", "Ta", "Cd", "Cd", "O", "O", "O", "O", "O", "O", "O", "O", "O", "O", "O", "O"], "frac_coords": [[0.0112, 0.9529, 0.2524], [0.5112, 0.5471, 0.7524], [0.9888, 0.0471, 0.7476], [0.4888, 0.4529, 0.2476], [0.5000, 0.0000, 0.5000], [0.0000, 0.5000, 0.0000], [0.5000, 0.0000, 0.0000], [0.0000, 0.5000, 0.5000], [0.2765, 0.6899, 0.0415], [0.7765, 0.8101, 0.5415], [0.7235, 0.3101, 0.9585], [0.2235, 0.1899, 0.4585], [0.3138, 0.7270, 0.4488], [0.8138, 0.7730, 0.9488], [0.6862, 0.2730, 0.5512], [0.1862, 0.2270, 0.0512], [0.9110, 0.5323, 0.2331], [0.4110, 0.9677, 0.7331], [0.0890, 0.4677, 0.7669], [0.5890, 0.0323, 0.2669]], "magmom_total_mub_per_fu": 1.1, "spacegroup": "P2_1/c (14)", "e_form_raw_mev_per_atom": -2406, "density_kg_m3": 6520, "dft_energy_ev_per_cell": -139.88}